{"formula": "PrErZnNi2", "functional": "PBE-GGA", "state": "relaxed", "total_energy_ev_per_cell": -23.77, "m_tot_mub_per_cell": 0.00, "e_form_ev_per_atom": -0.407, "lattice": [[-2.134, 2.704, 4.128], [2.134, -2.704, 4.128], [2.134, 2.704, -4.128]], "species": ["Er", "Pr", "Ni", "Ni", "Zn"], "fractional_positions": [[0.702, 0.202, 0.500], [0.297, 0.797, 0.500], [0.732, 0.500, 0.231], [0.269, 0.500, 0.769], [0.000, 0.000, 0.000]]}

***

{"formula": "KHfCuTeSe2", "functional": "PBE-GGA", "state": "relaxed", "total_energy_ev_per_cell": -61.66, "m_tot_mub_per_cell": 0.00, "lattice": [[1.723, 5.909, 5.145], [-3.053, -7.224, -1.688], [9.394, -4.421, 1.931]], "species": ["Hf", "Hf", "Cu", "Cu", "Se", "Se", "Se", "Se", "K", "K", "Te", "Te"], "fractional_positions": [[0.000, 0.000, 0.000], [0.000, 0.000, 0.500], [0.470, 0.530, 0.750], [0.530, 0.470, 0.250], [0.386, 0.614, 0.557], [0.386, 0.614, 0.943], [0.614, 0.386, 0.057], [0.614, 0.386, 0.443], [0.230, 0.770, 0.250], [0.770, 0.230, 0.750], [0.081, 0.919, 0.750], [0.919, 0.081, 0.250]]}

***

{"formula": "KFeBiS3", "functional": "PBE-GGA", "state": "relaxed", "total_energy_ev_per_cell": -58.36, "m_tot_mub_per_cell": 7.98, "lattice": [[2.017, -7.017, 0.000], [2.017, 7.017, 0.000], [0.000, 0.000, 11.053]], "species": ["S", "S", "S", "S", "S", "S", "Bi", "Bi", "Fe", "Fe", "K", "K"], "fractional_positions": [[0.372, 0.628, 0.424], [0.628, 0.372, 0.576], [0.946, 0.054, 0.750], [0.054, 0.946, 0.250], [0.372, 0.628, 0.076], [0.628, 0.372, 0.924], [0.000, 0.000, 0.500], [0.000, 0.000, 0.000], [0.462, 0.538, 0.250], [0.538, 0.462, 0.750], [0.260, 0.740, 0.750], [0.740, 0.260, 0.250]]}

***

{"formula": "SrAg2P2", "functional": "PBE-GGA", "state": "relaxed", "total_energy_ev_per_cell": -20.29, "lattice": [[-2.170, 2.170, 5.416], [2.170, -2.170, 5.416], [2.170, 2.170, -5.416]], "species": ["Sr", "Ag", "Ag", "P", "P"], "fractional_positions": [[0.000, 0.000, 0.000], [0.750, 0.250, 0.500], [0.250, 0.750, 0.500], [0.394, 0.394, 0.000], [0.606, 0.606, 0.000]]}

***

{"formula": "NaPaAgSe3", "functional": "PBE-GGA", "state": "relaxed", "total_energy_ev_per_cell": -60.43, "m_tot_mub_per_cell": 1.99, "lattice": [[2.094, -6.862, 0.000], [2.094, 6.862, 0.000], [0.000, 0.000, 10.845]], "species": ["Se", "Se", "Se", "Se", "Se", "Se", "Ag", "Ag", "Pa", "Pa", "Na", "Na"], "fractional_positions": [[0.862, 0.138, 0.948], [0.138, 0.862, 0.448], [0.588, 0.412, 0.750], [0.138, 0.862, 0.052], [0.412, 0.588, 0.250], [0.862, 0.138, 0.552], [0.968, 0.032, 0.750], [0.032, 0.968, 0.250], [0.500, 0.500, 0.500], [0.500, 0.500, 0.000], [0.256, 0.744, 0.750], [0.744, 0.256, 0.250]]}

***

{"formula": "Pr3Tl2CdPdAu2", "functional": "PBE-GGA", "state": "relaxed", "total_energy_ev_per_cell": -37.36, "m_tot_mub_per_cell": 0.01, "lattice": [[-0.268, -3.181, 2.481], [7.129, 1.905, 3.213], [-6.774, 3.013, 3.132]], "species": ["Pr", "Pr", "Pr", "Au", "Au", "Tl", "Tl", "Cd", "Pd"], "fractional_positions": [[0.000, 0.408, 0.408], [0.000, 0.595, 0.998], [0.000, 0.998, 0.595], [0.500, 0.341, 0.667], [0.500, 0.667, 0.341], [0.500, 0.251, 0.997], [0.500, 0.997, 0.251], [0.500, 0.747, 0.747], [0.000, 0.996, 0.996]]}

***

{"formula": "Na2Nd2O5", "functional": "PBE-GGA", "state": "relaxed", "total_energy_ev_per_cell": -52.34, "m_tot_mub_per_cell": 2.00, "lattice": [[-1.287, 6.475, -1.798], [-1.873, -1.320, -3.412], [-3.576, -0.149, 2.021]], "species": ["O", "O", "O", "O", "O", "Na", "Na", "Nd", "Nd"], "fractional_positions": [[0.781, 0.500, 0.000], [0.781, 0.000, 0.500], [0.219, 0.500, 0.000], [0.500, 0.500, 0.500], [0.219, 0.000, 0.500], [0.198, 0.500, 0.500], [0.802, 0.500, 0.500], [0.500, 0.000, 0.000], [0.000, 0.000, 0.000]]}

***

{"formula": "CsZrAlS3", "functional": "PBE-GGA", "state": "relaxed", "total_energy_ev_per_cell": -65.15, "m_tot_mub_per_cell": 0.15, "lattice": [[1.858, -7.960, 0.000], [1.858, 7.960, 0.000], [0.000, 0.000, 10.170]], "species": ["Al", "Al", "S", "S", "S", "S", "S", "S", "Zr", "Zr", "Cs", "Cs"], "fractional_positions": [[0.456, 0.544, 0.750], [0.544, 0.456, 0.250], [0.382, 0.618, 0.563], [0.382, 0.618, 0.937], [0.618, 0.382, 0.437], [0.956, 0.044, 0.250], [0.044, 0.956, 0.750], [0.618, 0.382, 0.063], [0.000, 0.000, 0.500], [0.000, 0.000, 0.000], [0.268, 0.732, 0.250], [0.732, 0.268, 0.750]]}

***

{"formula": "Sc3CdCN", "functional": "PBE-GGA", "state": "relaxed", "total_energy_ev_per_cell": -85.50, "m_tot_mub_per_cell": 0.51, "lattice": [[-2.763, 0.913, -1.500], [0.523, -3.158, 0.686], [-9.216, 2.488, 18.489]], "species": ["C", "C", "Sc", "Sc", "Sc", "Sc", "Sc", "Sc", "N", "N", "Cd", "Cd"], "fractional_positions": [[0.667, 0.333, 0.930], [0.333, 0.667, 0.070], [0.333, 0.667, 0.619], [0.000, 0.000, 0.500], [0.333, 0.667, 0.879], [0.667, 0.333, 0.381], [0.000, 0.000, 0.000], [0.667, 0.333, 0.121], [0.333, 0.667, 0.436], [0.667, 0.333, 0.564], [0.000, 0.000, 0.259], [0.000, 0.000, 0.741]]}

***

{"formula": "HfThMo", "functional": "PBE-GGA", "state": "relaxed", "total_energy_ev_per_cell": -27.30, "m_tot_mub_per_cell": 0.01, "e_form_ev_per_atom": 0.307, "lattice": [[0.010, -4.338, -2.005], [-2.998, -3.369, 1.581], [-3.682, -1.387, -2.713]], "species": ["Mo", "Hf", "Th"], "fractional_positions": [[0.250, 0.250, 0.250], [0.500, 0.500, 0.500], [0.000, 0.000, 0.000]]}

***

{"formula": "ScCdCoAs", "functional": "PBE-GGA", "state": "relaxed", "total_energy_ev_per_cell": -19.49, "m_tot_mub_per_cell": 0.95, "lattice": [[0.000, 3.239, 3.239], [3.239, 0.000, 3.239], [3.239, 3.239, 0.000]], "species": ["Cd", "Sc", "As", "Co"], "fractional_positions": [[0.500, 0.500, 0.500], [0.250, 0.250, 0.250], [0.000, 0.000, 0.000], [0.750, 0.750, 0.750]]}

***

{"formula": "PaNbAu", "functional": "PBE-GGA", "state": "relaxed", "total_energy_ev_per_cell": -20.69, "m_tot_mub_per_cell": 1.26, "e_form_ev_per_atom": 0.721, "lattice": [[0.000, 3.319, 3.319], [3.319, 0.000, 3.319], [3.319, 3.319, 0.000]], "species": ["Pa", "Au", "Nb"], "fractional_positions": [[0.000, 0.000, 0.000], [0.250, 0.250, 0.250], [0.750, 0.750, 0.750]]}

***

{"formula": "SrLaAgN", "functional": "PBE-GGA", "state": "relaxed", "total_energy_ev_per_cell": -40.73, "m_tot_mub_per_cell": 0.04, "lattice": [[1.843, -9.563, 0.000], [1.843, 9.563, 0.000], [0.000, 0.000, 5.349]], "species": ["Ag", "Ag", "Sr", "Sr", "La", "La", "N", "N"], "fractional_positions": [[0.538, 0.462, 0.750], [0.462, 0.538, 0.250], [0.292, 0.708, 0.250], [0.708, 0.292, 0.750], [0.897, 0.103, 0.750], [0.103, 0.897, 0.250], [0.314, 0.686, 0.750], [0.686, 0.314, 0.250]]}

***

{"formula": "Cs2Zn2H4Se3O11", "functional": "PBE-GGA", "state": "relaxed", "total_energy_ev_per_cell": -217.39, "lattice": [[7.290, 0.000, 0.000], [0.314, 9.592, 0.000], [2.669, 1.879, 9.061]], "species": ["O", "O", "O", "O", "O", "O", "O", "O", "O", "O", "O", "O", "O", "O", "O", "O", "O", "O", "O", "O", "O", "O", "H", "H", "H", "H", "H", "H", "H", "H", "Se", "Se", "Se", "Se", "Se", "Se", "Cs", "Cs", "Cs", "Cs", "Zn", "Zn", "Zn", "Zn"], "fractional_positions": [[0.250, 0.885, 0.208], [0.269, 0.919, 0.693], [0.436, 0.180, 0.579], [0.564, 0.820, 0.421], [0.911, 0.595, 0.334], [0.766, 0.908, 0.635], [0.545, 0.875, 0.906], [0.455, 0.125, 0.094], [0.750, 0.115, 0.792], [0.504, 0.619, 0.142], [0.192, 0.390, 0.109], [0.089, 0.405, 0.666], [0.764, 0.884, 0.137], [0.596, 0.363, 0.267], [0.404, 0.637, 0.733], [0.234, 0.092, 0.365], [0.755, 0.540, 0.635], [0.496, 0.381, 0.858], [0.245, 0.460, 0.365], [0.731, 0.081, 0.307], [0.808, 0.610, 0.891], [0.236, 0.116, 0.863], [0.159, 0.418, 0.559], [0.771, 0.588, 0.807], [0.038, 0.555, 0.335], [0.229, 0.412, 0.193], [0.841, 0.582, 0.441], [0.312, 0.395, 0.027], [0.962, 0.445, 0.665], [0.688, 0.605, 0.973], [0.224, 0.097, 0.691], [0.776, 0.903, 0.309], [0.482, 0.513, 0.315], [0.773, 0.932, 0.807], [0.518, 0.487, 0.685], [0.227, 0.068, 0.193], [0.123, 0.714, 0.003], [0.877, 0.286, 0.997], [0.122, 0.745, 0.530], [0.878, 0.255, 0.470], [0.487, 0.170, 0.875], [0.513, 0.830, 0.125], [0.481, 0.171, 0.362], [0.519, 0.829, 0.638]]}

***

{"formula": "Tb2GdAg4Pb4", "functional": "PBE-GGA", "state": "relaxed", "total_energy_ev_per_cell": -43.23, "m_tot_mub_per_cell": 0.00, "lattice": [[2.292, 2.440, 8.342], [-5.909, 4.042, 5.436], [2.440, -7.136, -4.890]], "species": ["Gd", "Ag", "Ag", "Ag", "Ag", "Pb", "Pb", "Pb", "Pb", "Tb", "Tb"], "fractional_positions": [[0.500, 0.000, 0.500], [0.473, 0.672, 0.801], [0.871, 0.672, 0.199], [0.129, 0.328, 0.801], [0.527, 0.328, 0.199], [0.286, 0.786, 0.500], [0.798, 0.500, 0.298], [0.202, 0.500, 0.702], [0.714, 0.214, 0.500], [0.872, 0.872, 0.000], [0.128, 0.128, 0.000]]}

***

{"formula": "PrSmCu2", "functional": "PBE-GGA", "state": "relaxed", "total_energy_ev_per_cell": -17.64, "m_tot_mub_per_cell": 0.01, "e_form_ev_per_atom": -0.180, "lattice": [[4.555, 0.000, 0.000], [0.000, 1.931, 5.320], [0.000, -1.931, 5.320]], "species": ["Cu", "Cu", "Sm", "Pr"], "fractional_positions": [[0.500, 0.933, 0.933], [0.000, 0.069, 0.069], [0.500, 0.640, 0.640], [0.000, 0.358, 0.358]]}

***

{"formula": "AlCoTcNi", "functional": "PBE-GGA", "state": "relaxed", "total_energy_ev_per_cell": -27.41, "m_tot_mub_per_cell": 1.00, "lattice": [[0.000, 2.909, 2.909], [2.909, 0.000, 2.909], [2.909, 2.909, 0.000]], "species": ["Co", "Ni", "Tc", "Al"], "fractional_positions": [[0.500, 0.500, 0.500], [0.750, 0.750, 0.750], [0.250, 0.250, 0.250], [0.000, 0.000, 0.000]]}

***

{"formula": "SnB4Mo", "functional": "PBE-GGA", "state": "relaxed", "total_energy_ev_per_cell": -41.10, "m_tot_mub_per_cell": 0.01, "lattice": [[-1.170, 1.173, -2.509], [-1.727, -1.630, 1.845], [-2.144, 7.233, 4.381]], "species": ["Mo", "B", "B", "B", "B", "Sn"], "fractional_positions": [[0.000, 0.000, 0.000], [0.667, 0.333, 0.189], [0.667, 0.333, 0.811], [0.333, 0.667, 0.189], [0.333, 0.667, 0.811], [0.000, 0.000, 0.500]]}

***

{"formula": "Na2TbO3", "functional": "PBE-GGA", "state": "relaxed", "total_energy_ev_per_cell": -138.71, "m_tot_mub_per_cell": 3.99, "lattice": [[0.028, 2.582, -5.259], [-0.695, -3.225, -4.850], [-10.819, 0.520, 2.394]], "species": ["O", "O", "O", "O", "O", "O", "O", "O", "O", "O", "O", "O", "Tb", "Tb", "Tb", "Tb", "Na", "Na", "Na", "Na", "Na", "Na", "Na", "Na"], "fractional_positions": [[0.311, 0.170, 0.864], [0.954, 0.813, 0.865], [0.519, 0.170, 0.636], [0.233, 0.813, 0.635], [0.876, 0.527, 0.636], [0.767, 0.187, 0.365], [0.403, 0.473, 0.136], [0.481, 0.830, 0.364], [0.689, 0.830, 0.136], [0.046, 0.187, 0.135], [0.124, 0.473, 0.364], [0.597, 0.527, 0.864], [0.582, 0.836, 0.750], [0.248, 0.504, 0.750], [0.752, 0.496, 0.250], [0.418, 0.164, 0.250], [0.685, 0.157, 0.000], [0.000, 0.500, 0.000], [0.315, 0.843, 0.000], [0.157, 0.157, 0.500], [0.085, 0.830, 0.250], [0.843, 0.843, 0.500], [0.915, 0.170, 0.750], [0.500, 0.500, 0.500]]}

***

{"formula": "RbReAu3S4", "functional": "PBE-GGA", "state": "relaxed", "total_energy_ev_per_cell": -39.90, "m_tot_mub_per_cell": 1.48, "lattice": [[6.310, 0.000, 0.000], [0.000, 6.310, 0.000], [0.000, 0.000, 6.310]], "species": ["Au", "Au", "Au", "S", "S", "S", "S", "Re", "Rb"], "fractional_positions": [[0.500, 0.500, 0.000], [0.000, 0.500, 0.500], [0.500, 0.000, 0.500], [0.292, 0.708, 0.708], [0.292, 0.292, 0.292], [0.708, 0.292, 0.708], [0.708, 0.708, 0.292], [0.500, 0.500, 0.500], [0.000, 0.000, 0.000]]}

***

{"formula": "Ge2Sb2Os3", "functional": "PBE-GGA", "state": "relaxed", "total_energy_ev_per_cell": -48.86, "m_tot_mub_per_cell": 0.00, "lattice": [[-0.011, -5.048, 6.020], [-4.100, -3.482, 5.727], [-2.781, -6.691, 3.039]], "species": ["Sb", "Sb", "Os", "Os", "Os", "Ge", "Ge"], "fractional_positions": [[0.495, 0.495, 0.495], [0.005, 0.005, 0.005], [0.372, 0.372, 0.372], [0.624, 0.624, 0.624], [0.879, 0.879, 0.879], [0.753, 0.753, 0.753], [0.246, 0.246, 0.246]]}

***

{"formula": "TmZrHg", "functional": "PBE-GGA", "state": "relaxed", "total_energy_ev_per_cell": -12.82, "m_tot_mub_per_cell": 1.06, "e_form_ev_per_atom": 0.166, "lattice": [[3.122, -3.705, -0.689], [0.601, -3.375, 3.492], [-1.700, -4.540, -0.667]], "species": ["Tm", "Hg", "Zr"], "fractional_positions": [[0.250, 0.250, 0.250], [0.000, 0.000, 0.000], [0.750, 0.750, 0.750]]}